No. 1
VASP calculation (PBE) on Tc2SF after structural relaxation.

abc: 5.7892 5.7892 5.7892
angles: 90.00 90.00 90.00
With the nearest neighbours (Å) after each atom.
Fractional coordinates of all 16 atoms:
Tc (0.2500, 0.2500, 0.2500)  4 S 2.51, 4 F 2.51
Tc (0.2500, 0.2500, 0.7500)  4 S 2.51, 4 F 2.51
Tc (0.2500, 0.7500, 0.2500)  4 S 2.51, 4 F 2.51
Tc (0.2500, 0.7500, 0.7500)  4 S 2.51, 4 F 2.51
Tc (0.7500, 0.2500, 0.2500)  4 S 2.51, 4 F 2.51
Tc (0.7500, 0.2500, 0.7500)  4 S 2.51, 4 F 2.51
Tc (0.7500, 0.7500, 0.2500)  4 S 2.51, 4 F 2.51
Tc (0.7500, 0.7500, 0.7500)  4 S 2.51, 4 F 2.51
S (0.0000, 0.0000, 0.0000)  8 Tc 2.51
S (0.0000, 0.5000, 0.5000)  8 Tc 2.51
S (0.5000, 0.0000, 0.5000)  8 Tc 2.51
S (0.5000, 0.5000, 0.0000)  8 Tc 2.51
F (0.0000, 0.0000, 0.5000)  8 Tc 2.51
F (0.0000, 0.5000, 0.0000)  8 Tc 2.51
F (0.5000, 0.0000, 0.0000)  8 Tc 2.51
F (0.5000, 0.5000, 0.5000)  8 Tc 2.51

Computed properties:
- ΔE_f (raw): -0.101 eV/atom
- Space group: No. 225

---

No. 2
VASP calculation (PBE) on ErThZn after structural relaxation.

abc: 5.0340 5.0340 3.6579
angles: 90.00 90.00 120.00
With the nearest neighbours (Å) after each atom.
Fractional coordinates of all 3 atoms:
Er (0.0000, 0.0000, 0.0000)  3 Zn 2.93
Th (0.6667, 0.3333, 0.5237)  6 Zn 3.31-3.57, 6 Er 3.39-3.48, 2 Th 3.66
Zn (0.3333, 0.6667, 0.0927)  3 Er 2.93

Computed properties:
- Energy of formation from the pure elements: 0.03 eV per atom
- Space group: No. 156

---

No. 3
VASP calculation (PBE) on AcPr2Nd3 after structural relaxation.

abc: 7.9786 7.9786 6.9489
angles: 90.00 90.00 88.82
With the nearest neighbours (Å) after each atom.
Fractional coordinates of all 12 atoms:
Ac (0.1030, 0.8970, 0.7500)  5 Nd 3.45-3.59
Ac (0.8970, 0.1030, 0.2500)  5 Nd 3.45-3.59
Pr (0.0980, 0.5987, 0.2500)  4 Nd 3.45-3.49, 1 Pr 3.46
Pr (0.4013, 0.9020, 0.2500)  4 Nd 3.45-3.49, 1 Pr 3.46
Pr (0.5987, 0.0980, 0.7500)  4 Nd 3.45-3.49, 1 Pr 3.46
Pr (0.9020, 0.4013, 0.7500)  4 Nd 3.45-3.49, 1 Pr 3.46
Nd (0.2564, 0.2564, 0.0000)  4 Nd 3.42-3.47, 4 Pr 3.45-3.49, 2 Ac 3.59
Nd (0.2564, 0.2564, 0.5000)  4 Nd 3.42-3.47, 4 Pr 3.45-3.49, 2 Ac 3.59
Nd (0.4120, 0.5880, 0.7500)  4 Nd 3.42, 1 Ac 3.45
Nd (0.5880, 0.4120, 0.2500)  4 Nd 3.42, 1 Ac 3.45
Nd (0.7436, 0.7436, 0.0000)  4 Nd 3.42-3.47, 4 Pr 3.45-3.49, 2 Ac 3.59
Nd (0.7436, 0.7436, 0.5000)  4 Nd 3.42-3.47, 4 Pr 3.45-3.49, 2 Ac 3.59

Computed properties:
- Energy of formation from the pure elements: 0.17 eV per atom
- Space group: No. 63

---

Computed values of size of the total moment (unit: μB per atom) for the preceding records, in sequence: 0.00, 0.00, 0.00.